The following is a PBE calculation of an optimized crystal structure of SrGeI4, from the Alexandria database.

POSCAR file:
```
SrGeI4
1.0
4.537 0.000 0.000
-2.269 8.662 0.433
0.000 -4.025 6.902
Sr Ge I
1 1 4
direct
0.500 0.000 0.500
0.000 0.000 0.000
0.388 0.777 0.036
0.117 0.234 0.426
0.612 0.223 0.964
0.883 0.766 0.574
```

Calculated values
Crystal system: monoclinic
Uncorrected energy, eV/atom: -3.082
Symmetry: C2/m, No. 12
E_form (uncorrected), eV per atom: -0.999


The following is a PBE calculation of an optimized crystal structure of InCuRe2Ni, from the Alexandria database.

POSCAR file:
```
InCuRe2Ni
1.0
4.470 0.000 0.000
0.000 4.660 0.000
0.000 0.000 4.470
Re Ni Cu In
2 1 1 1
direct
0.000 0.000 0.500
0.500 0.000 0.000
0.000 0.000 0.000
0.500 0.500 0.500
0.000 0.500 0.000
```

Calculated values
Crystal system: tetragonal
Uncorrected energy, eV/atom: -5.897
Symmetry: P4/mmm, No. 123
Energy of formation, eV per formula unit: 8.03


The following is a PBE calculation of an optimized crystal structure of HfZnPtRh, from the Alexandria database.

POSCAR file:
```
HfZnPtRh
1.0
4.186 0.000 0.000
0.000 4.186 0.000
-2.093 -2.093 3.627
Hf Zn Pt Rh
1 1 1 1
direct
0.500 0.500 0.000
0.000 0.000 0.000
0.750 0.250 0.500
0.250 0.750 0.500
```

Calculated values
Crystal system: tetragonal
Uncorrected energy, eV/atom: -7.050
Symmetry: I-4m2, No. 119
Energy of formation, eV per formula unit: -3.58


The following is a PBE calculation of an optimized crystal structure of Na2LiZn2, from the Alexandria database.

POSCAR file:
```
Na2LiZn2
1.0
4.299 0.000 0.000
0.000 4.299 0.000
2.150 2.150 6.806
Na Zn Li
2 2 1
direct
0.750 0.250 0.500
0.250 0.750 0.500
0.411 0.411 0.178
0.589 0.589 0.822
0.000 0.000 0.000
```

Calculated values
Crystal system: tetragonal
Uncorrected energy, eV/atom: -1.258
Symmetry: I4/mmm, No. 139
E above lowest polymorph, meV per atom: 105
Energy of formation, eV per formula unit: 0.81


The following is a PBE calculation of an optimized crystal structure of AcZn4Cd, from the Alexandria database.

POSCAR file:
```
AcZn4Cd
1.0
4.019 0.000 0.000
0.000 8.201 0.000
0.000 0.000 16.182
Ac Zn Cd
4 16 4
direct
0.000 0.627 0.348
0.000 0.373 0.652
0.000 0.127 0.152
0.000 0.873 0.848
0.500 0.787 0.190
0.500 0.213 0.810
0.500 0.287 0.310
0.500 0.713 0.690
0.500 0.873 0.039
0.500 0.127 0.961
0.500 0.373 0.461
0.500 0.627 0.539
0.500 0.877 0.451
0.500 0.123 0.549
0.500 0.377 0.049
0.500 0.623 0.951
0.500 0.977 0.307
0.500 0.023 0.693
0.500 0.477 0.193
0.500 0.523 0.807
0.000 0.633 0.087
0.000 0.367 0.913
0.000 0.133 0.413
0.000 0.867 0.587
```

Calculated values
Crystal system: orthorhombic
Uncorrected energy, eV/atom: -1.862
Symmetry: Pbam, No. 55
E above lowest polymorph, meV per atom: 0
Energy of formation, eV per formula unit: -1.05


The following is a PBE calculation of an optimized crystal structure of LaAl3Au3, from the Alexandria database.

POSCAR file:
```
LaAl3Au3
1.0
-0.896 5.544 4.125
-6.044 -2.645 2.242
3.350 -3.290 5.149
Au Al La
6 6 2
direct
0.250 0.000 0.500
0.000 0.500 0.250
0.500 0.750 0.000
0.750 0.000 0.500
0.000 0.500 0.750
0.500 0.250 0.000
0.000 0.250 0.500
0.000 0.750 0.500
0.500 0.000 0.750
0.750 0.500 0.000
0.500 0.000 0.250
0.250 0.500 0.000
0.500 0.500 0.500
0.000 0.000 0.000
```

Calculated values
Crystal system: cubic
Uncorrected energy, eV/atom: -4.056
Symmetry: Pm-3n, No. 223
E above lowest polymorph, meV per atom: 177
Energy of formation, eV per formula unit: -2.41


The following is a PBE calculation of an optimized crystal structure of MgZnCr2Fe, from the Alexandria database.

POSCAR file:
```
MgZnCr2Fe
1.0
-3.611 -2.397 0.737
0.166 -1.501 -4.069
2.502 -3.357 1.340
Mg Cr Zn Fe
1 2 1 1
direct
0.500 0.500 0.500
0.000 0.000 0.500
0.500 0.000 0.000
0.000 0.000 0.000
0.000 0.500 0.000
```

Calculated values
Crystal system: tetragonal
Uncorrected energy, eV/atom: -4.551
Symmetry: P4/mmm, No. 123
E above lowest polymorph, meV per atom: 60
Energy of formation, eV per formula unit: 7.83


The following is a PBE calculation of an optimized crystal structure of Li5MgP2, from the Alexandria database.

POSCAR file:
```
Li5MgP2
1.0
-1.894 -0.217 -4.014
1.098 -3.734 2.143
-14.739 -0.333 6.971
Li Mg P
10 2 4
direct
0.000 0.000 0.370
0.000 0.000 0.130
0.667 0.333 0.250
0.000 0.000 0.870
0.667 0.333 0.054
0.333 0.667 0.750
0.333 0.667 0.946
0.333 0.667 0.554
0.667 0.333 0.446
0.000 0.000 0.630
0.333 0.667 0.250
0.667 0.333 0.750
0.667 0.333 0.603
0.333 0.667 0.103
0.333 0.667 0.397
0.667 0.333 0.897
```

Calculated values
Crystal system: hexagonal
Uncorrected energy, eV/atom: -3.156
Symmetry: P6_3/mmc, No. 194
Energy of formation, eV per formula unit: -3.26


The following is a PBE calculation of an optimized crystal structure of ZnTc3N, from the Alexandria database.

POSCAR file:
```
ZnTc3N
1.0
-0.565 6.709 -10.528
4.255 0.790 -6.381
0.717 -7.445 1.874
Zn Tc N
4 12 4
direct
0.750 0.184 0.684
0.250 0.816 0.316
0.750 0.448 0.948
0.250 0.552 0.052
0.366 0.363 0.482
0.134 0.982 0.863
0.634 0.637 0.518
0.866 0.018 0.137
0.131 0.255 0.171
0.369 0.671 0.755
0.869 0.745 0.829
0.631 0.329 0.245
0.689 0.857 0.959
0.811 0.459 0.357
0.311 0.143 0.041
0.189 0.541 0.643
0.298 0.227 0.555
0.202 0.055 0.727
0.702 0.773 0.445
0.798 0.945 0.273
```

Calculated values
Crystal system: monoclinic
Uncorrected energy, eV/atom: -7.991
Symmetry: C2/c, No. 15
E above lowest polymorph, meV per atom: 125
E_form (uncorrected), eV per atom: 0.148


The following is a PBE calculation of an optimized crystal structure of CePuAsO, from the Alexandria database.

POSCAR file:
```
CePuAsO
1.0
4.108 0.000 0.000
0.000 4.108 0.000
0.000 0.000 9.804
Ce Pu As O
2 2 2 2
direct
0.000 0.500 0.881
0.500 0.000 0.119
0.000 0.000 0.500
0.500 0.500 0.500
0.500 0.000 0.718
0.000 0.500 0.282
0.500 0.500 0.000
0.000 0.000 0.000
```

Calculated values
Crystal system: tetragonal
Uncorrected energy, eV/atom: -9.334
Symmetry: P4/nmm, No. 129
E_form (uncorrected), eV per atom: -1.866


The following is a PBE calculation of an optimized crystal structure of CuHgRh3, from the Alexandria database.

POSCAR file:
```
CuHgRh3
1.0
-4.328 0.893 1.003
0.977 -0.225 4.419
0.920 4.437 0.023
Rh Hg Cu
3 1 1
direct
0.000 0.500 0.000
0.000 0.000 0.500
0.500 0.000 0.000
0.500 0.500 0.500
0.000 0.000 0.000
```

Calculated values
Crystal system: cubic
Uncorrected energy, eV/atom: -4.243
Symmetry: Pm-3m, No. 221
E above lowest polymorph, meV per atom: 0
Energy of formation, eV per formula unit: 5.24


The following is a PBE calculation of an optimized crystal structure of CsSrCuCl2, from the Alexandria database.

POSCAR file:
```
CsSrCuCl2
1.0
6.282 0.000 0.000
0.000 5.140 0.000
0.000 0.000 6.282
Cs Sr Cu Cl
1 1 1 2
direct
0.500 0.500 0.500
0.000 0.500 0.000
0.000 0.000 0.000
0.000 0.000 0.500
0.500 0.000 0.000
```

Calculated values
Crystal system: tetragonal
Uncorrected energy, eV/atom: -2.661
Symmetry: P4/mmm, No. 123
E_form (uncorrected), eV per atom: -0.596


no.,spin magnetization (μB/f.u.)
1,0.00
2,1.11
3,0.00
4,0.00
5,0.00
6,0.00
7,0.00
8,0.00
9,0.00
10,6.28
11,1.65
12,0.00